Arrangement A

NaMn2O4 | Alexandria via LeMat-Bulk | SCAN | single point on PBEsol structure; total moment = 5.0 μB/f.u.; space-group type = No. 227
1.0
0.000 4.176 4.176
4.176 0.000 4.176
4.176 4.176 0.000
Na Mn O
2 4 8
Direct
0.125 0.125 0.125
0.875 0.875 0.875
0.000 0.500 0.500
0.500 0.000 0.500
0.500 0.500 0.000
0.500 0.500 0.500
0.270 0.270 0.270
0.270 0.270 0.690
0.270 0.690 0.270
0.310 0.730 0.730
0.690 0.270 0.270
0.730 0.310 0.730
0.730 0.730 0.310
0.730 0.730 0.730

=====

Arrangement B

NaMn2O4 | Alexandria via LeMat-Bulk | SCAN | single point on PBEsol structure; total moment = 6.9 μB/f.u.; space-group type = No. 62
1.0
8.850 0.000 0.000
0.000 2.845 0.000
0.000 0.000 10.813
Na Mn O
4 8 16
Direct
0.245 0.250 0.161
0.255 0.750 0.661
0.745 0.250 0.339
0.755 0.750 0.839
0.067 0.250 0.385
0.081 0.250 0.902
0.419 0.750 0.402
0.433 0.750 0.885
0.567 0.250 0.115
0.581 0.250 0.598
0.919 0.750 0.098
0.933 0.750 0.615
0.025 0.750 0.794
0.069 0.250 0.580
0.116 0.750 0.021
0.210 0.750 0.348
0.290 0.250 0.848
0.384 0.250 0.521
0.431 0.750 0.080
0.475 0.250 0.294
0.525 0.750 0.706
0.569 0.250 0.920
0.616 0.750 0.479
0.710 0.750 0.152
0.790 0.250 0.652
0.884 0.250 0.979
0.931 0.750 0.420
0.975 0.250 0.206

=====

Arrangement C

NaMn2O4 | Alexandria via LeMat-Bulk | SCAN | single point on PBEsol structure; total moment = 5.0 μB/f.u.; space-group type = No. 10
1.0
4.829 0.000 0.000
0.000 2.845 0.000
-1.672 0.000 5.550
Na Mn O
1 2 4
Direct
0.000 0.000 0.000
0.000 0.500 0.500
0.500 0.000 0.500
0.226 0.000 0.682
0.269 0.500 0.313
0.731 0.500 0.687
0.774 0.000 0.318

=====

Most stable structure among those shown: arrangement B.